SrPrS2 PBE-GGA relaxed; energy relative to the lowest polymorph listed for this composition = 0 meV/atom; symmetry = R-3m (166); volume = 103.4 Å³/cell; energy = -5.729 eV/atom; mass density = 4.7 g/cm3
1.0
4.144 0.000 0.000
2.072 3.589 0.000
2.072 1.196 6.952
Pr S Sr
1 2 1
direct
0.000 0.000 0.000 Pr
0.252 0.252 0.243 S
0.748 0.748 0.757 S
0.500 0.500 0.500 Sr

---

SrPr6S8 PBE-GGA relaxed; symmetry = Fm-3m (225); volume = 392.2 Å³/cell; energy = -6.260 eV/atom; mass density = 5.0 g/cm3
1.0
7.116 0.000 4.108
2.372 6.709 4.108
0.000 0.000 8.216
S Pr Sr
8 6 1
direct
0.252 0.748 0.748 S
0.250 0.250 0.250 S
0.252 0.748 0.252 S
0.748 0.252 0.252 S
0.252 0.252 0.748 S
0.750 0.750 0.750 S
0.748 0.252 0.748 S
0.748 0.748 0.252 S
0.000 0.000 0.500 Pr
0.000 0.500 0.000 Pr
0.500 0.000 0.000 Pr
0.500 0.000 0.500 Pr
0.500 0.500 0.000 Pr
0.000 0.500 0.500 Pr
0.000 0.000 0.000 Sr